# CuIr

Crystalline CuIr at its relaxed geometry (PBE-GGA, Alexandria via LeMat-Bulk).

Cell: 9.376 9.376 2.656 Å, 90.00 90.00 90.00°
Positions (direct):
Ir (0.644, 0.097, 0.000)
Ir (0.856, 0.403, 0.500)
Ir (0.903, 0.644, 0.000)
Ir (0.097, 0.356, 0.000)
Ir (0.403, 0.144, 0.500)
Ir (0.144, 0.597, 0.500)
Ir (0.597, 0.856, 0.500)
Ir (0.356, 0.903, 0.000)
Cu (0.902, 0.161, 0.000)
Cu (0.661, 0.598, 0.500)
Cu (0.161, 0.098, 0.000)
Cu (0.598, 0.339, 0.500)
Cu (0.339, 0.402, 0.500)
Cu (0.098, 0.839, 0.000)
Cu (0.402, 0.661, 0.500)
Cu (0.839, 0.902, 0.000)

Calculated values
Total magnetic moment (μB/atom): 0.000
Electronic total energy (eV/atom): -6.09
SG: I4/m
DFT formation energy (meV/atom): 386



# Pr3InGe

Crystalline Pr3InGe at its relaxed geometry (PBE-GGA, Alexandria via LeMat-Bulk).

Cell: 6.062 6.062 9.173 Å, 103.29 103.29 107.81°
Positions (direct):
Pr (0.411, 0.296, 0.705)
Pr (0.809, 0.309, 0.119)
Pr (0.191, 0.691, 0.881)
Pr (0.204, 0.089, 0.295)
Pr (0.589, 0.704, 0.295)
Pr (0.796, 0.911, 0.705)
Ge (0.750, 0.750, 0.000)
Ge (0.250, 0.250, 0.000)
In (0.801, 0.301, 0.500)
In (0.199, 0.699, 0.500)

Calculated values
Total magnetic moment (μB/atom): 0.000
Electronic total energy (eV/atom): -4.85
SG: C2/m
DFT formation energy (meV/atom): -515